# Ca3TaP

A relaxed Ca3TaP crystal (PBE, Alexandria).

Cell: 5.4458 5.4458 5.4458 Å, 90.00 90.00 90.00°
Space group Pm-3m (No. 221)
One atom of each set of equivalent atoms:
Ca (0.0000, 0.0000, 0.5000) [3 per cell]
Ta (0.0000, 0.0000, 0.0000) [1 per cell]
P (0.5000, 0.5000, 0.5000) [1 per cell]

density of states at the Fermi level = 1.165 states/eV/atom
excess energy over the best structure of this formula in the dataset = 400 kJ/mol of formula units
energy of formation from the pure elements = 1.187 eV per atom
theoretical density = 3.42 g cm⁻³
spin magnetization = 0.000 μB per atom
volume = 32.30 Å³ per atom
total DFT energy (no corrections) = -3.4662 eV per atom